# 1
20
Lattice="-5.6576 5.6576 5.6576 5.6576 -5.6576 5.6576 5.6576 5.6576 -5.6576" Properties=species:S:1:pos:R:3 comment="Y7Ho12Zr PBE-GGA relaxed" magnetic_moment_mub_per_fu=0.00 e_above_lowest_polymorph_ev_per_atom=0.515 delta_e_f_mev_per_atom=787 total_energy_ev_per_atom=-4.650 pbc="T T T"
Y 2.8288 2.8288 -2.8288
Y 2.8288 -2.8288 2.8288
Y 5.6576 0.0000 0.0000
Y -2.8288 2.8288 2.8288
Y 0.0000 5.6576 0.0000
Y 0.0000 0.0000 5.6576
Y 2.8288 2.8288 2.8288
Ho 5.6576 3.2101 -3.2101
Ho 5.6576 -3.2101 3.2101
Ho 3.2101 5.6576 -3.2101
Ho 2.4475 2.4475 0.0000
Ho 2.4475 0.0000 2.4475
Ho 3.2101 -3.2101 5.6576
Ho 0.0000 2.4475 2.4475
Ho 5.6576 3.2101 3.2101
Ho -3.2101 5.6576 3.2101
Ho -3.2101 3.2101 5.6576
Ho 3.2101 5.6576 3.2101
Ho 3.2101 3.2101 5.6576
Zr 0.0000 0.0000 0.0000



# 2
16
Lattice="7.0968 0.0000 0.0000 0.0000 7.0968 0.0000 0.0000 0.0000 9.9770" Properties=species:S:1:pos:R:3 comment="Y14HoZr PBE-GGA relaxed" magnetic_moment_mub_per_fu=0.00 delta_e_f_mev_per_atom=43 total_energy_ev_per_atom=-6.434 pbc="T T T"
Y 0.0000 0.0000 0.0000
Y 0.0000 3.5484 0.0000
Y 0.0000 3.5484 4.9885
Y 1.7401 1.7401 2.5607
Y 1.7401 1.7401 7.4163
Y 1.7401 5.3568 2.5607
Y 1.7401 5.3568 7.4163
Y 3.5484 0.0000 0.0000
Y 3.5484 0.0000 4.9885
Y 3.5484 3.5484 0.0000
Y 5.3568 1.7401 2.5607
Y 5.3568 1.7401 7.4163
Y 5.3568 5.3568 2.5607
Y 5.3568 5.3568 7.4163
Ho 3.5484 3.5484 4.9885
Zr 0.0000 0.0000 4.9885



# 3
4
Lattice="4.0029 0.0000 0.0000 0.0000 4.0029 0.0000 0.0000 0.0000 7.2523" Properties=species:S:1:pos:R:3 comment="YHo2Zr PBE-GGA relaxed" magnetic_moment_mub_per_fu=0.00 e_above_lowest_polymorph_ev_per_atom=0.093 delta_e_f_mev_per_atom=166 total_energy_ev_per_atom=-5.876 pbc="T T T"
Y 0.0000 0.0000 0.0000
Ho 2.0014 2.0014 2.0012
Ho 2.0014 2.0014 5.2511
Zr 0.0000 0.0000 3.6262



# 4
20
Lattice="4.9092 0.0000 0.0000 0.0000 11.3640 0.0000 -0.0176 0.0000 11.3904" Properties=species:S:1:pos:R:3 comment="Y3Ho6Zr PBE-GGA relaxed" magnetic_moment_mub_per_fu=0.00 delta_e_f_mev_per_atom=205 total_energy_ev_per_atom=-5.336 pbc="T T T"
Y 0.0000 0.0000 0.0000
Y -0.0088 5.6820 5.6952
Y -0.0081 1.7314 7.4250
Y 0.0007 3.9506 1.7298
Y 4.8908 7.4134 9.6606
Y 4.8996 9.6326 3.9654
Ho 0.0006 7.3145 1.6306
Ho -0.0082 9.7314 7.3258
Ho 2.4462 0.0685 2.4542
Ho 2.4374 5.6135 8.1494
Ho 2.4368 2.4448 11.3219
Ho 2.4457 3.2372 5.6267
Ho 2.4459 8.1268 5.7637
Ho 2.4547 8.9192 0.0685
Ho 2.4541 5.7505 3.2410
Ho 2.4453 11.2955 8.9362
Ho 4.8997 1.6325 4.0646
Ho 4.8909 4.0494 9.7598
Zr 2.4458 0.0000 5.6952
Zr 2.4546 5.6820 0.0000